The following is a DFT calculation (GGA-PBE) of an optimized crystal structure of Cu2PBr.

Properties
Density of states at the Fermi level (states/eV/cell): 7.473
Energy above the lowest structure with this stoichiometry (meV/atom): 44
Formation energy without anion corrections (meV per atom): 30.7

Lattice parameters (Å, degrees): 5.7116 5.7116 10.0798 90.00 90.00 90.00
Last column: nearest neighbours and their distance in Å.
Space group I-42d (No. 122)
One atom of each set of equivalent atoms:
Cu 0.2023 0.2500 0.1250 [8 per cell]  2 P 2.23
P 0.0000 0.0000 0.0000 [4 per cell]  4 Cu 2.23
Br 0.0000 0.0000 0.5000 [4 per cell]  4 Cu 2.55


The following is a DFT calculation (GGA-PBE) of an optimized crystal structure of TiPd3Au.

Properties
Density of states at the Fermi level (states/eV/cell): 14.010
Energy above the lowest structure with this stoichiometry (meV/atom): 1544

Lattice parameters (Å, degrees): 4.9026 4.9026 4.9026 90.00 90.00 90.00
Last column: nearest neighbours and their distance in Å.
Space group Pm-3m (No. 221)
One atom of each set of equivalent atoms:
Ti 0.0000 0.0000 0.0000 [1 per cell]  12 Pd 3.47
Pd 0.0000 0.5000 0.5000 [3 per cell]  2 Au 2.45
Au 0.5000 0.5000 0.5000 [1 per cell]  6 Pd 2.45


The following is a DFT calculation (GGA-PBE) of an optimized crystal structure of P2IrNCl.

Properties
Density of states at the Fermi level (states/eV/cell): 7.336
Energy above the lowest structure with this stoichiometry (meV/atom): 396
Formation energy without anion corrections (meV per atom): 1656.8

Lattice parameters (Å, degrees): 4.5481 4.5481 4.7944 90.00 90.00 90.00
Last column: nearest neighbours and their distance in Å.
Space group P4/mmm (No. 123)
One atom of each set of equivalent atoms:
P 0.0000 0.5000 0.0000 [2 per cell]  2 Ir 2.27
Ir 0.0000 0.0000 0.0000 [1 per cell]  4 P 2.27, 2 Cl 2.40
N 0.5000 0.5000 0.5000 [1 per cell]  4 Cl 3.22, 8 P 3.30
Cl 0.0000 0.0000 0.5000 [1 per cell]  2 Ir 2.40


The following is a DFT calculation (GGA-PBE) of an optimized crystal structure of AcSmHo2Se4.

Properties
Density of states at the Fermi level (states/eV/cell): 3.639
Formation energy without anion corrections (meV per atom): -1765.7

Lattice parameters (Å, degrees): 7.1349 4.0984 7.5079 90.00 108.36 90.00
Last column: nearest neighbours and their distance in Å.
Space group P2/m (No. 10)
One atom of each set of equivalent atoms:
Ac 0.0000 0.0000 0.0000 [1 per cell]  6 Se 3.09-3.10
Sm 0.5000 0.5000 0.0000 [1 per cell]  6 Se 3.03-3.04
Ho 0.0000 0.5000 0.5000 [1 per cell]  6 Se 2.91
Ho 0.5000 0.0000 0.5000 [1 per cell]  6 Se 2.84-2.85
Se 0.2507 0.0000 0.7309 [2 per cell]  3 Ho 2.85-2.91, 2 Sm 3.03, 1 Ac 3.09
Se 0.2659 0.5000 0.2753 [2 per cell]  3 Ho 2.84-2.91, 1 Sm 3.04, 2 Ac 3.10


The following is a DFT calculation (GGA-PBE) of an optimized crystal structure of Bi2SbIr.

Properties
Density of states at the Fermi level (states/eV/cell): 4.606
Formation energy without anion corrections (meV per atom): 2.0

Lattice parameters (Å, degrees): 3.9275 8.7123 6.3250 90.00 97.71 90.00
Last column: nearest neighbours and their distance in Å.
Space group P2_1/m (No. 11)
One atom of each set of equivalent atoms:
Bi 0.2056 0.0613 0.2879 [4 per cell]  3 Ir 2.94-2.99, 1 Bi 3.29
Sb 0.3165 0.2500 0.8171 [2 per cell]  2 Ir 2.66
Ir 0.2439 0.7500 0.4691 [2 per cell]  2 Sb 2.66, 2 Bi 2.94


The following is a DFT calculation (GGA-PBE) of an optimized crystal structure of Ca4Zn3.

Properties
Density of states at the Fermi level (states/eV/cell): 7.407
Energy above the lowest structure with this stoichiometry (meV/atom): 132

Lattice parameters (Å, degrees): 5.9290 5.9290 6.3463 90.00 90.00 120.00
Last column: nearest neighbours and their distance in Å.
Space group P6/mmm (No. 191)
One atom of each set of equivalent atoms:
Ca 0.0000 0.0000 0.2359 [2 per cell]  2 Ca 2.99-3.35, 6 Zn 3.32
Ca 0.3333 0.6667 0.5000 [2 per cell]  9 Ca 3.42-3.81, 6 Zn 3.61
Zn 0.0000 0.5000 0.0000 [3 per cell]  4 Zn 2.96


The following is a DFT calculation (GGA-PBE) of an optimized crystal structure of USbSe4.

Properties
Density of states at the Fermi level (states/eV/cell): 9.783
Energy above the lowest structure with this stoichiometry (meV/atom): 0
Formation energy without anion corrections (meV per atom): -715.3

Lattice parameters (Å, degrees): 15.1492 4.1202 7.1369 90.00 117.58 90.00
Last column: nearest neighbours and their distance in Å.
Space group C2/m (No. 12)
One atom of each set of equivalent atoms:
U 0.0000 0.0000 0.0000 [2 per cell]  6 Se 2.73-2.80
Sb 0.0000 0.5000 0.5000 [2 per cell]  6 Se 2.88-2.89
Se 0.1131 0.5000 0.2691 [4 per cell]  2 U 2.80, 1 Sb 2.88
Se 0.1144 0.0000 0.7963 [4 per cell]  1 U 2.73, 2 Sb 2.89


The following is a DFT calculation (GGA-PBE) of an optimized crystal structure of CoOsSeBr2.

Properties
Density of states at the Fermi level (states/eV/cell): 9.068
Energy above the lowest structure with this stoichiometry (meV/atom): 0
Formation energy without anion corrections (meV per atom): 1009.3

Lattice parameters (Å, degrees): 5.2648 5.2648 4.6330 90.00 90.00 90.00
Last column: nearest neighbours and their distance in Å.
Space group P4/mmm (No. 123)
One atom of each set of equivalent atoms:
Co 0.0000 0.0000 0.0000 [1 per cell]  8 Br 3.51, 4 Se 3.72
Os 0.5000 0.5000 0.5000 [1 per cell]  2 Se 2.32
Se 0.5000 0.5000 0.0000 [1 per cell]  2 Os 2.32
Br 0.0000 0.5000 0.5000 [2 per cell]  2 Os 2.63


The following is a DFT calculation (GGA-PBE) of an optimized crystal structure of ThMnCoP2.

Properties
Density of states at the Fermi level (states/eV/cell): 5.696
Calculated total energy (eV/atom): -7.89

Lattice parameters (Å, degrees): 3.8192 3.8192 10.5979 90.00 90.00 90.00
Last column: nearest neighbours and their distance in Å.
Space group I-4m2 (No. 119)
One atom of each set of equivalent atoms:
Th 0.0000 0.0000 0.0000 [2 per cell]  8 P 3.10, 4 Mn 3.27, 4 Co 3.27
Mn 0.0000 0.5000 0.7500 [2 per cell]  4 P 2.22
Co 0.0000 0.5000 0.2500 [2 per cell]  4 P 2.22
P 0.0000 0.0000 0.3561 [4 per cell]  2 Mn 2.22, 2 Co 2.22


The following is a DFT calculation (GGA-PBE) of an optimized crystal structure of NaRePd.

Properties
Density of states at the Fermi level (states/eV/cell): 3.635
Energy above the lowest structure with this stoichiometry (meV/atom): 175

Lattice parameters (Å, degrees): 2.6945 5.1315 7.3580 82.92 85.80 89.05
Last column: nearest neighbours and their distance in Å.
Space group P1 (No. 1)
One atom of each set of equivalent atoms:
Na 0.0000 0.0000 0.0000 [1 per cell]  4 Pd 2.66-2.89, 3 Na 2.69-2.93
Na 0.4007 0.8649 0.3588 [1 per cell]  2 Pd 2.64-2.88, 3 Na 2.69-2.93, 2 Re 2.84-2.91
Re 0.5131 0.3106 0.6189 [1 per cell]  3 Re 2.42-2.69
Re 0.8708 0.3773 0.3057 [1 per cell]  3 Re 2.42-2.69, 1 Pd 2.68
Pd 0.4582 0.4915 0.9840 [1 per cell]  3 Re 2.68-2.94, 4 Pd 2.69-2.96, 3 Na 2.81-2.89
Pd 0.9315 0.7957 0.6880 [1 per cell]  3 Na 2.64-2.88, 3 Pd 2.69-2.76, 2 Re 2.86-2.87


The following is a DFT calculation (GGA-PBE) of an optimized crystal structure of K2CuPt.

Properties
Density of states at the Fermi level (states/eV/cell): 5.395
Energy above the lowest structure with this stoichiometry (meV/atom): 456

Lattice parameters (Å, degrees): 3.1984 3.1984 31.6831 90.00 90.00 120.00
Last column: nearest neighbours and their distance in Å.
Space group R-3m (No. 166, hexagonal axes)
One atom of each set of equivalent atoms:
K 0.0000 0.0000 0.2480 [6 per cell]  3 Pt 3.17, 6 K 3.20, 3 Cu 3.27
Cu 0.0000 0.0000 0.0000 [3 per cell]  6 Cu 3.20, 6 K 3.27
Pt 0.0000 0.0000 0.5000 [3 per cell]  6 K 3.17, 6 Pt 3.20


The following is a DFT calculation (GGA-PBE) of an optimized crystal structure of CdS.

Properties
Density of states at the Fermi level (states/eV/cell): 0.000
Formation energy without anion corrections (meV per atom): -638.8

Lattice parameters (Å, degrees): 4.1925 4.1925 20.5232 90.00 90.00 120.00
Last column: nearest neighbours and their distance in Å.
Space group P6_3mc (No. 186)
One atom of each set of equivalent atoms:
Cd 0.0000 0.0000 0.0000 [2 per cell]  4 S 2.57
Cd 0.3333 0.6667 0.1668 [2 per cell]  4 S 2.57
Cd 0.3333 0.6667 0.8335 [2 per cell]  4 S 2.57
S 0.0000 0.0000 0.3749 [2 per cell]  4 Cd 2.57
S 0.3333 0.6667 0.0417 [2 per cell]  4 Cd 2.57
S 0.3333 0.6667 0.7084 [2 per cell]  4 Cd 2.57